[1]
## Mg2ZrTa (PBE)

Data for Mg2ZrTa after structural relaxation.

The calculation puts the energy relative to the elements at 259.8 meV/atom. As for the crystal system: tetragonal. As for the total magnetic moment: 0.000 μB per atom.

a b c (Å): 5.4663 5.4663 5.4663
angles (deg): 134.57 134.57 66.20
Positions (direct):
Mg 0.2500 0.7500 0.5000
Mg 0.7500 0.2500 0.5000
Zr 0.0000 0.0000 0.0000
Ta 0.5000 0.5000 0.0000

***

[2]
## LaFeCo2 (PBE)

Data for LaFeCo2 after structural relaxation.

The calculation puts the energy relative to the elements at -31.5 meV/atom. As for the crystal system: trigonal. As for the total magnetic moment: 0.930 μB per atom.

a b c (Å): 5.4992 5.4992 5.4992
angles (deg): 43.48 43.48 43.48
Positions (direct):
La 0.0000 0.0000 0.0000
Fe 0.5000 0.5000 0.5000
Co 0.1893 0.1893 0.1893
Co 0.8107 0.8107 0.8107

***

[3]
## Zr2VGaCo (PBE)

Data for Zr2VGaCo after structural relaxation.

The calculation puts the energy relative to the elements at 1057.1 meV/atom. As for the crystal system: tetragonal. As for the total magnetic moment: 0.408 μB per atom.

a b c (Å): 4.9886 4.9886 4.4421
angles (deg): 90.00 90.00 90.00
Positions (direct):
Zr 0.0000 0.5000 0.0000
Zr 0.5000 0.0000 0.0000
V 0.0000 0.0000 0.5000
Ga 0.0000 0.0000 0.0000
Co 0.5000 0.5000 0.5000

***

Electronic total energy in eV per atom, matching the order above: -5.64, -6.93, -6.21